Entry from the Alexandria database: a crystal of Li2Ti3MnO8 relaxed with PBEsol (meta-GGA SCAN).

Cell: 5.925 5.925 5.907 Å, 59.90 59.90 60.00°
Sites, in units of the cell vectors:
1 O 0.750 0.290 0.210
2 O 0.255 0.255 0.779
3 O 0.255 0.712 0.779
4 O 0.741 0.741 0.778
5 O 0.750 0.750 0.210
6 O 0.259 0.259 0.224
7 O 0.290 0.750 0.210
8 O 0.712 0.255 0.779
9 Li 0.500 0.500 0.499
10 Li 0.881 0.881 0.356
11 Mn 0.118 0.118 0.645
12 Ti 0.502 0.502 0.003
13 Ti 0.502 0.994 0.003
14 Ti 0.994 0.502 0.003

Space-group type: R3m, No. 160
Raw formation energy: -41.2 eV per formula unit
E above lowest polymorph: 0.036 eV per atom